A plane-wave DFT calculation with PBE was carried out for TmMg after structural relaxation.

## Properties
The calculation puts the total energy at -2.985 eV per atom.

```
data_TmMg
_space_group_name_H-M_alt 'P m c 21'
_space_group_IT_number 26
_cell_length_a 5.372
_cell_length_b 9.969
_cell_length_c 5.987
_cell_angle_alpha 90.00
_cell_angle_beta 90.00
_cell_angle_gamma 90.00
loop_
_space_group_symop_operation_xyz
'x,y,z'
'-x,-y,z+1/2'
'-x,y,z'
'x,-y,z+1/2'
loop_
_atom_site_label
_atom_site_type_symbol
_atom_site_fract_x
_atom_site_fract_y
_atom_site_fract_z
Tm1 Tm 0.000 0.075 0.000
Tm2 Tm 0.000 0.409 0.050
Tm3 Tm 0.500 0.411 0.708
Mg1 Mg 0.000 0.251 0.528
Mg2 Mg 0.500 0.083 0.684
Mg3 Mg 0.500 0.239 0.210
```